(1)
# In2Ga5Ag4 | Alexandria via LeMat-Bulk | PBE | optimized geometry
# E = -31.795 eV/cell
# Space group = Immm
data_In2Ga5Ag4
_cell_length_a 5.332
_cell_length_b 6.936
_cell_length_c 6.936
_cell_angle_alpha 75.26
_cell_angle_beta 67.39
_cell_angle_gamma 67.39
_space_group_name_H-M_alt 'P 1'
_space_group_IT_number 1
loop_
_space_group_symop_operation_xyz
'x,y,z'
loop_
_atom_site_label
_atom_site_type_symbol
_atom_site_fract_x
_atom_site_fract_y
_atom_site_fract_z
Ga1 Ga 0.753 0.840 0.160
Ga2 Ga 0.753 0.160 0.840
Ga3 Ga 0.247 0.160 0.840
Ga4 Ga 0.247 0.840 0.160
Ga5 Ga 0.000 0.500 0.500
In1 In 0.335 0.665 0.665
In2 In 0.665 0.335 0.335
Ag1 Ag 0.759 0.916 0.566
Ag2 Ag 0.760 0.565 0.916
Ag3 Ag 0.240 0.435 0.084
Ag4 Ag 0.241 0.084 0.434



(2)
# Zn2TcTe | Alexandria via LeMat-Bulk | PBE | optimized geometry
# Uncorrected formation energy = 0.379 eV/atom
# Space group = C2/m
data_Zn2TcTe
_cell_length_a 4.517
_cell_length_b 5.668
_cell_length_c 3.238
_cell_angle_alpha 72.32
_cell_angle_beta 92.61
_cell_angle_gamma 114.29
_space_group_name_H-M_alt 'P 1'
_space_group_IT_number 1
loop_
_space_group_symop_operation_xyz
'x,y,z'
loop_
_atom_site_label
_atom_site_type_symbol
_atom_site_fract_x
_atom_site_fract_y
_atom_site_fract_z
Tc1 Tc 0.000 0.500 0.500
Zn1 Zn 0.000 0.000 0.000
Zn2 Zn 0.500 0.000 0.500
Te1 Te 0.500 0.500 0.000



(3)
# Tc2SnGe | Alexandria via LeMat-Bulk | PBE | optimized geometry
# E = -54.185 eV/cell
# Space group = I-42d
data_Tc2SnGe
_cell_length_a 7.197
_cell_length_b 7.197
_cell_length_c 5.818
_cell_angle_alpha 51.79
_cell_angle_beta 51.79
_cell_angle_gamma 90.00
_space_group_name_H-M_alt 'P 1'
_space_group_IT_number 1
loop_
_space_group_symop_operation_xyz
'x,y,z'
loop_
_atom_site_label
_atom_site_type_symbol
_atom_site_fract_x
_atom_site_fract_y
_atom_site_fract_z
Tc1 Tc 0.575 0.125 0.250
Tc2 Tc 0.175 0.625 0.250
Tc3 Tc 0.875 0.825 0.750
Tc4 Tc 0.375 0.425 0.750
Ge1 Ge 0.250 0.750 0.500
Ge2 Ge 0.500 0.500 0.000
Sn1 Sn 0.750 0.250 0.500
Sn2 Sn 0.000 0.000 0.000



(4)
# ZrC3 | Alexandria via LeMat-Bulk | PBE | optimized geometry
# E = -31.898 eV/cell
# Space group = Pmmm
data_ZrC3
_cell_length_a 2.728
_cell_length_b 3.786
_cell_length_c 3.659
_cell_angle_alpha 90.07
_cell_angle_beta 90.00
_cell_angle_gamma 90.00
_space_group_name_H-M_alt 'P 1'
_space_group_IT_number 1
loop_
_space_group_symop_operation_xyz
'x,y,z'
loop_
_atom_site_label
_atom_site_type_symbol
_atom_site_fract_x
_atom_site_fract_y
_atom_site_fract_z
Zr1 Zr 0.500 0.250 0.250
C1 C 0.000 0.750 0.442
C2 C 0.500 0.750 0.750
C3 C 0.000 0.750 0.058